DFT (PBE) results for a relaxed K2CdNiS4 crystal.

abc: 6.414 6.414 7.248
angles: 124.36 124.36 74.01
Site moments in Bohr magnetons follow the coordinates.
Element x y z (fractional)
S 0.120 0.429 0.433  0.16
S 0.968 0.715 0.116  0.16
S 0.571 0.880 0.567  0.17
S 0.285 0.032 0.884  0.16
Ni 0.236 0.764 0.500  0.83
Cd 0.986 0.014 0.000  0.02
K 0.485 0.515 0.000  0.00
K 0.736 0.264 0.500  0.01

Properties
Final energy   -3.714 eV/atom
Theoretical density   3.09 g/cm³
Total moment   2.00 μB/f.u.